1.
Density functional theory data (PBE-GGA) for NdEuYMg after structural relaxation.

Computed properties:
space group = F-43m, No. 216
magnetization = 28.51 μB/cell
VASP energy = -5.719 eV per atom
V = 32.1 Å³/atom

Unit cell a=8.0099 b=8.0099 c=8.0099 alpha=90.00 beta=90.00 gamma=90.00
Positions (direct):
Nd (0.0000, 0.0000, 0.0000)
Nd (0.0000, 0.5000, 0.5000)
Nd (0.5000, 0.0000, 0.5000)
Nd (0.5000, 0.5000, 0.0000)
Eu (0.2500, 0.2500, 0.2500)
Eu (0.2500, 0.7500, 0.7500)
Eu (0.7500, 0.2500, 0.7500)
Eu (0.7500, 0.7500, 0.2500)
Y (0.0000, 0.0000, 0.5000)
Y (0.0000, 0.5000, 0.0000)
Y (0.5000, 0.0000, 0.0000)
Y (0.5000, 0.5000, 0.5000)
Mg (0.2500, 0.2500, 0.7500)
Mg (0.2500, 0.7500, 0.2500)
Mg (0.7500, 0.2500, 0.2500)
Mg (0.7500, 0.7500, 0.7500)


2.
Density functional theory data (PBE-GGA) for Ac7Hg2Ru2 after structural relaxation.

Computed properties:
space group = Cmmm, No. 65
magnetization = 0.00 μB/cell
VASP energy = -4.552 eV per atom
V = 36.1 Å³/atom

Unit cell a=7.4465 b=7.4465 c=7.6425 alpha=90.00 beta=90.00 gamma=110.53
Positions (direct):
Ac (0.0000, 0.0000, 0.0000)
Ac (0.0000, 0.5000, 0.2521)
Ac (0.0000, 0.5000, 0.7479)
Ac (0.5000, 0.0000, 0.2521)
Ac (0.5000, 0.0000, 0.7479)
Ac (0.5000, 0.5000, 0.2430)
Ac (0.5000, 0.5000, 0.7570)
Hg (0.1720, 0.1720, 0.5000)
Hg (0.8280, 0.8280, 0.5000)
Ru (0.3015, 0.6985, 0.0000)
Ru (0.6985, 0.3015, 0.0000)


3.
Density functional theory data (PBE-GGA) for LiDy3Pb4 after structural relaxation.

Computed properties:
space group = I4/mmm, No. 139
magnetization = 0.00 μB/cell
VASP energy = -4.216 eV per atom
V = 27.0 Å³/atom

Unit cell a=4.9196 b=4.9196 c=17.8467 alpha=90.00 beta=90.00 gamma=90.00
Positions (direct):
Li (0.0000, 0.0000, 0.0000)
Li (0.5000, 0.5000, 0.5000)
Dy (0.0000, 0.0000, 0.2540)
Dy (0.0000, 0.0000, 0.5000)
Dy (0.0000, 0.0000, 0.7460)
Dy (0.5000, 0.5000, 0.0000)
Dy (0.5000, 0.5000, 0.2460)
Dy (0.5000, 0.5000, 0.7540)
Pb (0.0000, 0.5000, 0.1216)
Pb (0.0000, 0.5000, 0.3784)
Pb (0.0000, 0.5000, 0.6216)
Pb (0.0000, 0.5000, 0.8784)
Pb (0.5000, 0.0000, 0.1216)
Pb (0.5000, 0.0000, 0.3784)
Pb (0.5000, 0.0000, 0.6216)
Pb (0.5000, 0.0000, 0.8784)